A relaxed Cd3Cu8Hg crystal, computed with PBE.

Properties
energy: -35.34 eV/f.u.
ΔH_f (0 K): 40 meV per atom

Structure (extended XYZ):
```
12
Lattice="-3.549 3.637 -0.230 -2.219 1.661 4.265 3.810 7.409 2.131" Properties=species:S:1:pos:R:3 pbc="T T T"
Cd 1.175 8.474 3.379
Cd 3.798 7.397 2.129
Cd -0.973 6.359 3.084
Cu -3.590 5.521 2.049
Cu -1.007 8.245 5.365
Cu -1.814 3.701 2.164
Cu -2.785 10.067 5.250
Cu 0.587 4.237 1.689
Cu -0.394 10.588 4.772
Cu -2.925 4.532 4.298
Cu -1.673 9.235 3.114
Hg -3.617 7.416 4.331
```